# 1
4
Lattice="0.000 3.403 3.403 3.403 0.000 3.403 3.403 3.403 0.000" Properties=species:S:1:pos:R:3 comment="YCuRePb (GGA-PBE, optimized geometry)" magnetic_moment_mub_per_fu=0.00 pbc="T T T"
Y 0.000 0.000 0.000
Cu 5.104 5.104 5.104
Re 1.701 1.701 1.701
Pb 3.403 3.403 3.403

---

# 2
4
Lattice="0.000 3.429 3.429 3.429 0.000 3.429 3.429 3.429 0.000" Properties=species:S:1:pos:R:3 comment="YCuRePb (GGA-PBE, optimized geometry)" magnetic_moment_mub_per_fu=0.00 pbc="T T T"
Y 0.000 0.000 0.000
Cu 3.429 3.429 3.429
Re 5.143 5.143 5.143
Pb 1.714 1.714 1.714

---

# 3
4
Lattice="0.000 3.221 3.221 3.221 0.000 3.221 3.221 3.221 0.000" Properties=species:S:1:pos:R:3 comment="ZnCuRePb (GGA-PBE, optimized geometry)" magnetic_moment_mub_per_fu=0.01 pbc="T T T"
Zn 0.000 0.000 0.000
Cu 3.221 3.221 3.221
Re 4.832 4.832 4.832
Pb 1.611 1.611 1.611

---

# 4
4
Lattice="0.000 3.223 3.223 3.223 0.000 3.223 3.223 3.223 0.000" Properties=species:S:1:pos:R:3 comment="ZnCuRePb (GGA-PBE, optimized geometry)" magnetic_moment_mub_per_fu=0.01 pbc="T T T"
Zn 0.000 0.000 0.000
Cu 4.834 4.834 4.834
Re 1.611 1.611 1.611
Pb 3.223 3.223 3.223

---

# 5
4
Lattice="0.000 3.320 3.320 3.320 0.000 3.320 3.320 3.320 0.000" Properties=species:S:1:pos:R:3 comment="ZrCuRePb (GGA-PBE, optimized geometry)" magnetic_moment_mub_per_fu=0.00 pbc="T T T"
Zr 0.000 0.000 0.000
Cu 4.981 4.981 4.981
Re 1.660 1.660 1.660
Pb 3.320 3.320 3.320

---

# 6
4
Lattice="0.000 3.333 3.333 3.333 0.000 3.333 3.333 3.333 0.000" Properties=species:S:1:pos:R:3 comment="ZrCuRePb (GGA-PBE, optimized geometry)" magnetic_moment_mub_per_fu=0.00 pbc="T T T"
Zr 0.000 0.000 0.000
Cu 3.333 3.333 3.333
Re 5.000 5.000 5.000
Pb 1.667 1.667 1.667

---

# 7
Density functional theory data (GGA-PBE) for an optimized crystal structure of Cu2PbS2.

extended XYZ file:
```
5
Lattice="3.985 0.000 0.000 -1.993 3.451 0.000 0.000 0.000 6.856" Properties=species:S:1:pos:R:3 pbc="T T T"
Cu 0.000 2.301 0.861
Cu 1.993 1.150 5.995
Pb 0.000 0.000 3.428
S 0.000 2.301 5.334
S 1.993 1.150 1.521
```

---

# 8
Density functional theory data (GGA-PBE) for an optimized crystal structure of Cu3PbS4.

extended XYZ file:
```
8
Lattice="-2.730 2.730 5.401 2.730 -2.730 5.401 2.730 2.730 -5.401" Properties=species:S:1:pos:R:3 pbc="T T T"
Cu 0.000 0.000 0.000
Cu 2.730 0.000 2.700
Cu 0.000 2.730 2.700
Pb 0.000 0.000 5.401
S 1.220 1.220 -1.487
S 1.510 -1.510 6.888
S 1.510 1.510 3.913
S -1.510 1.510 6.888
```

---

Asked for final energy across the records above, the calculation gives -24.4, -23.5, -17.5, -18.0, -26.9, -26.1, -20.7, -33.3 eV for the cell shown in order.